A plane-wave DFT calculation with PBE was carried out for a relaxed NaTm3Rh crystal.

Geometry as POSCAR:
```
NaTm3Rh
1.0
-0.536 4.954 -2.008
-0.327 -2.044 -4.958
-5.336 -0.372 0.505
Tm Na Rh
3 1 1
direct
0.000 0.500 0.000
0.000 0.000 0.500
0.500 0.000 0.000
0.500 0.500 0.500
0.000 0.000 0.000
```

Results
- Symmetry: No. 221


A plane-wave DFT calculation with PBE was carried out for a relaxed NaTm2Rh crystal.

Geometry as POSCAR:
```
NaTm2Rh
1.0
3.415 0.000 0.000
0.000 3.415 0.000
0.000 0.000 9.233
Tm Na Rh
2 1 1
direct
0.000 0.000 0.827
0.000 0.000 0.173
0.500 0.500 0.500
0.500 0.500 0.000
```

Results
- Excess energy over the best structure of this formula in the dataset: 0 meV per atom
- Symmetry: No. 123


A plane-wave DFT calculation with PBE was carried out for a relaxed NaTm2Rh crystal.

Geometry as POSCAR:
```
NaTm2Rh
1.0
-3.316 0.877 1.807
-3.363 -1.389 -1.339
-1.173 -8.459 6.111
Tm Na Rh
2 1 1
direct
0.882 0.882 0.354
0.118 0.118 0.646
0.000 0.000 0.000
0.500 0.500 0.500
```

Results
- Excess energy over the best structure of this formula in the dataset: 92 meV per atom
- Symmetry: No. 166


A plane-wave DFT calculation with PBE was carried out for a relaxed Na2VRh crystal.

Geometry as POSCAR:
```
Na2VRh
1.0
-6.862 3.906 5.766
-4.337 -8.730 0.754
-4.319 -2.888 5.106
Na V Rh
4 2 2
direct
0.875 0.988 0.750
0.738 0.125 0.250
0.012 0.625 0.250
0.375 0.262 0.750
0.500 0.500 0.000
0.250 0.750 0.500
0.750 0.250 0.500
0.000 0.000 0.000
```

Results
- Excess energy over the best structure of this formula in the dataset: 0 meV per atom
- Symmetry: No. 122


A plane-wave DFT calculation with PBE was carried out for a relaxed Na3VRh crystal.

Geometry as POSCAR:
```
Na3VRh
1.0
5.269 0.000 0.000
0.000 5.269 0.000
0.000 0.000 5.269
V Na Rh
1 3 1
direct
0.500 0.500 0.500
0.500 0.000 0.000
0.000 0.500 0.000
0.000 0.000 0.500
0.000 0.000 0.000
```

Results
- Excess energy over the best structure of this formula in the dataset: 0 meV per atom
- Symmetry: No. 221


A plane-wave DFT calculation with PBE was carried out for a relaxed NaVRh2 crystal.

Geometry as POSCAR:
```
NaVRh2
1.0
2.869 0.000 0.000
0.000 2.869 0.000
0.000 0.000 7.845
V Rh Na
1 2 1
direct
0.500 0.500 0.000
0.000 0.000 0.800
0.000 0.000 0.200
0.500 0.500 0.500
```

Results
- Symmetry: No. 123


Looking at spin magnetization for the records above, in order, we have 0.0, 0.0, 0.0, 2.8, 4.0, 0.9 μB/f.u..
Looking at ΔH_f (0 K) for the records above, in order, we have -241.6, -393.8, -302.0, 808.1, 1163.0, -105.0 meV/atom.